Record 1
{"formula": "Ac4Tl3Cd5", "functional": "PBE", "state": "relaxed", "lattice": [[-0.318, -4.974, 1.814], [7.567, -1.586, 4.730], [-2.881, 0.648, 9.024]], "species": ["Ac", "Ac", "Ac", "Ac", "Tl", "Tl", "Tl", "Cd", "Cd", "Cd", "Cd", "Cd"], "frac_coords": [[0.992, 0.201, 0.816], [0.260, 0.735, 0.746], [0.740, 0.265, 0.254], [0.008, 0.799, 0.184], [0.321, 0.950, 0.407], [0.000, 0.500, 0.500], [0.679, 0.050, 0.593], [0.600, 0.895, 0.905], [0.500, 0.500, 0.500], [0.262, 0.435, 0.042], [0.738, 0.565, 0.958], [0.400, 0.105, 0.095]], "space_group": "C2/m", "formation_enthalpy_0k_mev_per_atom": -126, "total_energy_ev_per_cell": -29.6, "n_ef_per_ev_atom": 0.8942, "vol_a3_per_atom": 34.5}

Record 2
{"formula": "MnGe", "functional": "PBE", "state": "relaxed", "lattice": [[2.804, 0.000, 0.000], [0.000, 8.412, 0.000], [0.000, 0.000, 7.748]], "species": ["Mn", "Mn", "Mn", "Mn", "Mn", "Mn", "Ge", "Ge", "Ge", "Ge", "Ge", "Ge"], "frac_coords": [[0.500, 0.749, 0.537], [0.500, 0.251, 0.537], [0.500, 0.249, 0.037], [0.500, 0.751, 0.037], [0.000, 0.000, 0.548], [0.000, 0.500, 0.048], [0.000, 0.340, 0.782], [0.000, 0.660, 0.782], [0.000, 0.840, 0.282], [0.000, 0.160, 0.282], [0.500, 0.000, 0.817], [0.500, 0.500, 0.317]], "space_group": "Amm2", "formation_enthalpy_0k_mev_per_atom": 141, "total_energy_ev_per_cell": -81.0, "n_ef_per_ev_atom": 0.8225, "vol_a3_per_atom": 15.2}

Record 3
{"formula": "Th6SiSb2As3", "functional": "PBE", "state": "relaxed", "lattice": [[-0.388, 4.269, -0.561], [-8.097, -1.137, -3.056], [-1.145, -1.034, 9.582]], "species": ["Th", "Th", "Th", "Th", "Th", "Th", "Si", "Sb", "Sb", "As", "As", "As"], "frac_coords": [[0.337, 0.932, 0.675], [0.660, 0.598, 0.320], [0.663, 0.068, 0.325], [0.995, 0.240, 0.990], [0.005, 0.760, 0.010], [0.340, 0.402, 0.680], [0.500, 0.000, 0.000], [0.832, 0.663, 0.665], [0.168, 0.337, 0.335], [0.500, 0.500, 0.000], [0.830, 0.164, 0.660], [0.170, 0.836, 0.340]], "space_group": "C2/m", "total_energy_ev_per_cell": -85.4, "n_ef_per_ev_atom": 0.5226, "vol_a3_per_atom": 29.0}

Record 4
{"formula": "GaAs2PBr", "functional": "PBE", "state": "relaxed", "lattice": [[4.602, 0.000, 0.000], [0.000, 4.602, 0.000], [0.000, 0.000, 7.843]], "species": ["P", "As", "As", "Ga", "Br"], "frac_coords": [[0.000, 0.000, 0.000], [0.000, 0.500, 0.000], [0.500, 0.000, 0.000], [0.500, 0.500, 0.500], [0.000, 0.000, 0.500]], "space_group": "P4/mmm", "de_polymorph_ev_per_atom": 0.0000, "total_energy_ev_per_cell": -17.1, "n_ef_per_ev_atom": 0.3030, "vol_a3_per_atom": 33.2}

Record 5
{"formula": "YHo3Er2As6", "functional": "PBE", "state": "relaxed", "lattice": [[4.098, 0.000, 0.000], [0.000, 8.189, 0.295], [-2.049, -2.356, 8.613]], "species": ["Y", "Ho", "Ho", "Ho", "Er", "Er", "As", "As", "As", "As", "As", "As"], "frac_coords": [[0.500, 0.000, 0.000], [0.500, 0.500, 0.000], [0.834, 0.167, 0.667], [0.166, 0.833, 0.333], [0.833, 0.667, 0.666], [0.167, 0.333, 0.334], [0.333, 0.916, 0.666], [0.667, 0.582, 0.334], [0.667, 0.084, 0.334], [0.000, 0.252, 0.001], [0.000, 0.748, 0.999], [0.333, 0.418, 0.666]], "space_group": "C2/m", "formation_enthalpy_0k_mev_per_atom": -1530, "total_energy_ev_per_cell": -75.6, "n_ef_per_ev_atom": 0.1528, "vol_a3_per_atom": 24.3}

Record 6
{"formula": "NiHgOs3", "functional": "PBE", "state": "relaxed", "lattice": [[4.911, 0.000, 0.000], [0.000, 4.911, 0.000], [0.000, 0.000, 4.911]], "species": ["Ni", "Os", "Os", "Os", "Hg"], "frac_coords": [[0.500, 0.500, 0.500], [0.000, 0.500, 0.000], [0.000, 0.000, 0.500], [0.500, 0.000, 0.000], [0.000, 0.000, 0.000]], "space_group": "Pm-3m", "de_polymorph_ev_per_atom": 1.5630, "formation_enthalpy_0k_mev_per_atom": 3532, "total_energy_ev_per_cell": -22.1, "n_ef_per_ev_atom": 1.8744, "vol_a3_per_atom": 23.7}

Record 7
{"formula": "SrGePb2Se4", "functional": "PBE", "state": "relaxed", "lattice": [[8.652, 0.003, -0.035], [-0.003, 8.652, -0.035], [-4.304, -4.307, 6.154]], "species": ["Sr", "Sr", "Ge", "Ge", "Pb", "Pb", "Pb", "Pb", "Se", "Se", "Se", "Se", "Se", "Se", "Se", "Se"], "frac_coords": [[0.000, 0.500, 0.000], [0.000, 0.500, 0.500], [0.500, 0.500, 0.500], [0.000, 0.000, 0.000], [0.500, 0.000, 0.000], [0.500, 0.000, 0.500], [0.000, 0.000, 0.500], [0.500, 0.500, 0.000], [0.241, 0.759, 0.000], [0.741, 0.259, 0.500], [0.259, 0.741, 0.500], [0.759, 0.241, 0.000], [0.750, 0.750, 0.983], [0.750, 0.750, 0.517], [0.250, 0.250, 0.483], [0.250, 0.250, 0.017]], "space_group": "Imma", "total_energy_ev_per_cell": -68.3, "vol_a3_per_atom": 28.6}

Record 8
{"formula": "ZnRe4W", "functional": "PBE", "state": "relaxed", "lattice": [[0.000, 3.644, 3.644], [3.644, 0.000, 3.644], [3.644, 3.644, 0.000]], "species": ["Zn", "Re", "Re", "Re", "Re", "W"], "frac_coords": [[0.000, 0.000, 0.000], [0.626, 0.626, 0.123], [0.626, 0.123, 0.626], [0.626, 0.626, 0.626], [0.123, 0.626, 0.626], [0.250, 0.250, 0.250]], "space_group": "F-43m", "formation_enthalpy_0k_mev_per_atom": 418, "total_energy_ev_per_cell": -61.5, "n_ef_per_ev_atom": 0.9313, "vol_a3_per_atom": 16.1}

Record 9
{"formula": "Sm3TmSc2Se6", "functional": "PBE", "state": "relaxed", "lattice": [[6.962, -0.017, -0.003], [-3.494, 6.022, -0.003], [-1.160, -2.009, 6.733]], "species": ["Sm", "Sm", "Sm", "Tm", "Sc", "Sc", "Se", "Se", "Se", "Se", "Se", "Se"], "frac_coords": [[0.164, 0.836, 0.500], [0.836, 0.164, 0.500], [0.500, 0.500, 0.500], [0.000, 0.000, 0.000], [0.333, 0.667, 0.000], [0.667, 0.333, 0.000], [0.923, 0.584, 0.770], [0.736, 0.736, 0.227], [0.077, 0.416, 0.230], [0.584, 0.923, 0.770], [0.264, 0.264, 0.773], [0.416, 0.077, 0.230]], "space_group": "C2/m", "total_energy_ev_per_cell": -72.7, "n_ef_per_ev_atom": 0.5025, "vol_a3_per_atom": 23.5}

Record 10
{"formula": "MgVSi", "functional": "PBE", "state": "relaxed", "lattice": [[-2.406, 2.934, -0.423], [-2.091, -2.066, -2.437], [-3.714, -2.304, 5.140]], "species": ["Mg", "Mg", "Si", "Si", "V", "V"], "frac_coords": [[0.000, 0.500, 0.844], [0.500, 0.000, 0.156], [0.000, 0.500, 0.255], [0.500, 0.000, 0.745], [0.500, 0.500, 0.500], [0.000, 0.000, 0.500]], "space_group": "P4/nmm", "total_energy_ev_per_cell": -33.8, "n_ef_per_ev_atom": 0.4488, "vol_a3_per_atom": 16.4}

Record 11
{"formula": "LiCdRe2", "functional": "PBE", "state": "relaxed", "lattice": [[-2.529, -0.712, 0.729], [1.645, -2.120, -0.488], [2.674, -0.048, 9.224]], "species": ["Cd", "Li", "Re", "Re"], "frac_coords": [[0.000, 0.000, 0.504], [0.500, 0.500, 0.766], [0.000, 0.000, 0.004], [0.500, 0.500, 0.227]], "space_group": "Cmm2", "formation_enthalpy_0k_mev_per_atom": 264, "total_energy_ev_per_cell": -26.7, "n_ef_per_ev_atom": 0.3866, "vol_a3_per_atom": 16.3}

Record 12
{"formula": "HfSeBrN2", "functional": "PBE", "state": "relaxed", "lattice": [[-2.669, -1.175, -2.786], [-1.283, -2.925, 2.462], [-3.305, 3.037, 1.886]], "species": ["Hf", "Se", "Br", "N", "N"], "frac_coords": [[0.500, 0.500, 0.500], [0.000, 0.000, 0.500], [0.000, 0.000, 0.000], [0.000, 0.500, 0.000], [0.500, 0.000, 0.000]], "space_group": "P4/mmm", "de_polymorph_ev_per_atom": 1.2087, "total_energy_ev_per_cell": -23.6, "n_ef_per_ev_atom": 0.3405, "vol_a3_per_atom": 15.8}

- Which formula does entry 5 have?
  YHo3Er2As6